[1]
VASP calculation (PBEsol) on Cu3Ni after structural relaxation.

a = 2.483 Å, b = 2.483 Å, c = 8.232 Å
α = 90.00°, β = 90.00°, γ = 120.00°
Positions (direct):
1 Ni 0.333 0.667 0.500
2 Cu 0.000 0.000 0.253
3 Cu 0.000 0.000 0.747
4 Cu 0.333 0.667 0.000

Output
Calculated formation energy = 0.0138 eV per atom
Raw total energy = -4.776 eV/atom

[2]
VASP calculation (PBEsol) on Tl4Bi after structural relaxation.

a = 3.480 Å, b = 3.480 Å, c = 13.910 Å
α = 82.81°, β = 82.81°, γ = 60.00°
Positions (direct):
1 Tl 0.600 0.600 0.200
2 Tl 0.200 0.200 0.400
3 Tl 0.800 0.800 0.600
4 Tl 0.400 0.400 0.800
5 Bi 0.000 0.000 0.000

Output
Calculated formation energy = -0.0011 eV per atom
Raw total energy = -2.962 eV/atom

[3]
VASP calculation (PBEsol) on CaMg2Ag2 after structural relaxation.

a = 4.266 Å, b = 4.266 Å, c = 6.946 Å
α = 107.88°, β = 107.88°, γ = 90.00°
Positions (direct):
1 Ca 0.000 0.000 0.000
2 Mg 0.250 0.750 0.500
3 Mg 0.750 0.250 0.500
4 Ag 0.393 0.393 0.785
5 Ag 0.607 0.607 0.215

Output
Polymorph energy (0 for the lowest one) = 0 meV/atom
Calculated formation energy = -0.2110 eV per atom
Raw total energy = -2.649 eV/atom

[4]
VASP calculation (PBEsol) on Ca3CdCl after structural relaxation.

a = 5.834 Å, b = 5.834 Å, c = 5.834 Å
α = 90.00°, β = 90.00°, γ = 90.00°
Positions (direct):
1 Ca 0.000 0.500 0.000
2 Ca 0.000 0.000 0.500
3 Ca 0.500 0.000 0.000
4 Cl 0.500 0.500 0.500
5 Cd 0.000 0.000 0.000

Output
Formation energy (no corrections) = -0.29 eV per atom
Raw total energy = -2.207 eV/atom

[5]
VASP calculation (PBEsol) on CaHgO2F after structural relaxation.

a = 4.189 Å, b = 4.352 Å, c = 4.352 Å
α = 90.00°, β = 90.00°, γ = 90.00°
Positions (direct):
1 Ca 0.000 0.000 0.000
2 Hg 0.500 0.500 0.500
3 O 0.000 0.000 0.500
4 O 0.000 0.500 0.000
5 F 0.500 0.000 0.000

Output
Formation energy (no corrections) = -1.06 eV per atom
Raw total energy = -4.080 eV/atom

[6]
VASP calculation (PBEsol) on La2HfPbW after structural relaxation.

a = 5.238 Å, b = 5.877 Å, c = 5.877 Å
α = 90.00°, β = 90.00°, γ = 90.00°
Positions (direct):
1 Pb 0.000 0.000 0.000
2 Hf 0.500 0.000 0.000
3 W 0.500 0.500 0.500
4 La 0.000 0.000 0.500
5 La 0.000 0.500 0.000

Output
Calculated formation energy = 1.7186 eV per atom
Raw total energy = -6.082 eV/atom

[7]
VASP calculation (PBEsol) on Zr2OsBr after structural relaxation.

a = 4.707 Å, b = 4.707 Å, c = 4.707 Å
α = 60.00°, β = 60.00°, γ = 60.00°
Positions (direct):
1 Os 0.250 0.250 0.250
2 Br 0.500 0.500 0.500
3 Zr 0.000 0.000 0.000
4 Zr 0.750 0.750 0.750

Output
Polymorph energy (0 for the lowest one) = 1080 meV/atom
Formation energy (no corrections) = 0.54 eV per atom
Raw total energy = -7.525 eV/atom

[8]
VASP calculation (PBEsol) on ZrSiBi2 after structural relaxation.

a = 6.571 Å, b = 6.571 Å, c = 7.879 Å
α = 114.65°, β = 114.65°, γ = 90.00°
Positions (direct):
1 Si 0.750 0.250 0.500
2 Si 0.500 0.500 0.000
3 Bi 0.390 0.875 0.250
4 Bi 0.860 0.375 0.250
5 Bi 0.125 0.140 0.750
6 Bi 0.625 0.610 0.750
7 Zr 0.250 0.750 0.500
8 Zr 0.000 0.000 0.000

Output
Formation energy (no corrections) = 0.55 eV per atom
Raw total energy = -5.304 eV/atom

[9]
VASP calculation (PBEsol) on BaSrAg2 after structural relaxation.

a = 5.556 Å, b = 5.556 Å, c = 5.556 Å
α = 60.00°, β = 60.00°, γ = 60.00°
Positions (direct):
1 Sr 0.000 0.000 0.000
2 Ba 0.500 0.500 0.500
3 Ag 0.250 0.250 0.250
4 Ag 0.750 0.750 0.750

Output
Polymorph energy (0 for the lowest one) = 44 meV/atom
Calculated formation energy = -0.1950 eV per atom
Raw total energy = -2.848 eV/atom

[10]
VASP calculation (PBEsol) on Ti2CoTc after structural relaxation.

a = 4.238 Å, b = 4.238 Å, c = 4.238 Å
α = 60.00°, β = 60.00°, γ = 60.00°
Positions (direct):
1 Co 0.000 0.000 0.000
2 Tc 0.500 0.500 0.500
3 Ti 0.750 0.750 0.750
4 Ti 0.250 0.250 0.250

Output
Calculated formation energy = -0.5081 eV per atom
Raw total energy = -9.420 eV/atom

[11]
VASP calculation (PBEsol) on LiTi2Rh2 after structural relaxation.

a = 2.894 Å, b = 7.300 Å, c = 7.300 Å
α = 90.00°, β = 90.00°, γ = 90.00°
Positions (direct):
1 Li 0.000 0.000 0.000
2 Li 0.000 0.500 0.500
3 Rh 0.000 0.357 0.857
4 Rh 0.000 0.857 0.643
5 Rh 0.000 0.643 0.143
6 Rh 0.000 0.143 0.357
7 Ti 0.500 0.153 0.653
8 Ti 0.500 0.653 0.847
9 Ti 0.500 0.847 0.347
10 Ti 0.500 0.347 0.153

Output
Calculated formation energy = -0.4884 eV per atom
Raw total energy = -7.466 eV/atom

[12]
VASP calculation (PBEsol) on ScSb2IF after structural relaxation.

a = 5.392 Å, b = 5.392 Å, c = 5.385 Å
α = 90.00°, β = 90.00°, γ = 90.00°
Positions (direct):
1 I 0.000 0.000 0.500
2 Sb 0.000 0.500 0.000
3 Sb 0.500 0.000 0.000
4 Sc 0.000 0.000 0.000
5 F 0.500 0.500 0.500

Output
Formation energy (no corrections) = -0.16 eV per atom
Raw total energy = -4.038 eV/atom

[13]
VASP calculation (PBEsol) on CaCuPb2 after structural relaxation.

a = 3.479 Å, b = 6.056 Å, c = 6.056 Å
α = 115.93°, β = 104.22°, γ = 104.22°
Positions (direct):
1 Ca 0.500 0.000 0.000
2 Cu 0.500 0.500 0.500
3 Pb 0.000 0.500 0.000
4 Pb 0.000 0.000 0.500

Output
Calculated formation energy = 0.0716 eV per atom
Raw total energy = -3.545 eV/atom

[14]
VASP calculation (PBEsol) on Zn4PtCl after structural relaxation.

a = 5.057 Å, b = 5.057 Å, c = 5.057 Å
α = 60.00°, β = 60.00°, γ = 60.00°
Positions (direct):
1 Cl 0.250 0.250 0.250
2 Pt 0.000 0.000 0.000
3 Zn 0.626 0.626 0.123
4 Zn 0.123 0.626 0.626
5 Zn 0.626 0.123 0.626
6 Zn 0.626 0.626 0.626

Output
Formation energy (no corrections) = 0.11 eV per atom
Raw total energy = -2.439 eV/atom

[15]
VASP calculation (PBEsol) on Pr3Ni4Ge4 after structural relaxation.

a = 4.093 Å, b = 4.110 Å, c = 12.282 Å
α = 99.63°, β = 99.59°, γ = 90.00°
Positions (direct):
1 Pr 0.000 0.000 0.000
2 Pr 0.352 0.852 0.703
3 Pr 0.648 0.148 0.297
4 Ni 0.550 0.550 0.099
5 Ni 0.450 0.450 0.901
6 Ni 0.199 0.699 0.399
7 Ni 0.801 0.301 0.601
8 Ge 0.250 0.250 0.500
9 Ge 0.100 0.600 0.200
10 Ge 0.900 0.400 0.800
11 Ge 0.750 0.750 0.500

Output
Calculated formation energy = -0.6775 eV per atom
Raw total energy = -6.127 eV/atom

[16]
VASP calculation (PBEsol) on ReIrI2 after structural relaxation.

a = 5.826 Å, b = 5.826 Å, c = 7.294 Å
α = 113.54°, β = 113.54°, γ = 90.00°
Positions (direct):
1 I 0.874 0.375 0.250
2 I 0.376 0.875 0.250
3 I 0.625 0.624 0.750
4 I 0.125 0.126 0.750
5 Re 0.750 0.250 0.500
6 Re 0.500 0.500 0.000
7 Ir 0.250 0.750 0.500
8 Ir 0.000 0.000 0.000

Output
Formation energy (no corrections) = 1.41 eV per atom
Raw total energy = -5.262 eV/atom

[17]
VASP calculation (PBEsol) on TcIrRh2 after structural relaxation.

a = 2.668 Å, b = 2.668 Å, c = 7.684 Å
α = 90.00°, β = 90.00°, γ = 90.00°
Positions (direct):
1 Ir 0.500 0.500 0.500
2 Rh 0.000 0.000 0.753
3 Rh 0.000 0.000 0.247
4 Tc 0.500 0.500 0.000

Output
Polymorph energy (0 for the lowest one) = 55 meV/atom
Calculated formation energy = -0.0621 eV per atom
Raw total energy = -9.404 eV/atom

[18]
VASP calculation (PBEsol) on NiIr after structural relaxation.

a = 4.258 Å, b = 4.517 Å, c = 5.115 Å
α = 90.00°, β = 90.00°, γ = 90.00°
Positions (direct):
1 Ir 0.750 0.910 0.872
2 Ir 0.250 0.590 0.372
3 Ir 0.750 0.410 0.628
4 Ir 0.250 0.090 0.128
5 Ni 0.750 0.913 0.372
6 Ni 0.250 0.587 0.872
7 Ni 0.750 0.413 0.128
8 Ni 0.250 0.087 0.628

Output
Calculated formation energy = 0.0273 eV per atom
Raw total energy = -7.963 eV/atom

[19]
VASP calculation (PBEsol) on ZrIn3Tc after structural relaxation.

a = 5.351 Å, b = 5.351 Å, c = 5.351 Å
α = 90.00°, β = 90.00°, γ = 90.00°
Positions (direct):
1 Tc 0.500 0.500 0.500
2 Zr 0.000 0.000 0.000
3 In 0.000 0.500 0.000
4 In 0.000 0.000 0.500
5 In 0.500 0.000 0.000

Output
Calculated formation energy = 1.5334 eV per atom
Raw total energy = -4.327 eV/atom

[20]
VASP calculation (PBEsol) on SbC2I after structural relaxation.

a = 5.921 Å, b = 5.832 Å, c = 5.921 Å
α = 59.50°, β = 90.00°, γ = 120.50°
Positions (direct):
1 I 0.750 0.500 0.750
2 I 0.000 0.000 0.000
3 Sb 0.250 0.500 0.250
4 Sb 0.500 0.000 0.500
5 C 0.172 0.750 0.875
6 C 0.578 0.750 0.375
7 C 0.375 0.250 0.172
8 C 0.875 0.250 0.578

Output
Formation energy (no corrections) = 1.92 eV per atom
Raw total energy = -4.482 eV/atom

| no. | magnetization (μB per formula unit) |
| --- | --- |
| 1 | 0.00 |
| 2 | 0.00 |
| 3 | 0.00 |
| 4 | 0.00 |
| 5 | 1.12 |
| 6 | 3.42 |
| 7 | 0.76 |
| 8 | 0.00 |
| 9 | 0.00 |
| 10 | 0.00 |
| 11 | 0.00 |
| 12 | 0.00 |
| 13 | 0.00 |
| 14 | 0.00 |
| 15 | 0.00 |
| 16 | 0.00 |
| 17 | 0.00 |
| 18 | 0.00 |
| 19 | 3.72 |
| 20 | 0.00 |